# 1
{"formula": "ThScBi", "functional": "PBE", "state": "relaxed", "lattice": [[7.845, 0.000, 0.000], [0.000, 7.845, 0.000], [0.000, 0.000, 6.302]], "species": ["Th", "Th", "Th", "Th", "Sc", "Sc", "Sc", "Sc", "Bi", "Bi", "Bi", "Bi"], "fractional_positions": [[0.000, 0.303, 0.000], [0.000, 0.697, 0.000], [0.303, 0.000, 0.500], [0.697, 0.000, 0.500], [0.308, 0.500, 0.500], [0.500, 0.308, 0.000], [0.500, 0.692, 0.000], [0.692, 0.500, 0.500], [0.000, 0.267, 0.500], [0.000, 0.733, 0.500], [0.267, 0.000, 0.000], [0.733, 0.000, 0.000]], "dos_ef_per_ev_atom": 1.040, "spacegroup": "P4_2/mmc, No. 131", "dft_energy_ev_per_atom": -5.863, "magmom_total_mub_per_cell": 0.00}

***

# 2
{"formula": "ThScBi", "functional": "PBE", "state": "relaxed", "lattice": [[4.447, 0.000, 0.000], [0.000, 4.447, 0.000], [0.000, 0.000, 8.723]], "species": ["Th", "Th", "Sc", "Sc", "Bi", "Bi"], "fractional_positions": [[0.250, 0.250, 0.142], [0.750, 0.750, 0.858], [0.250, 0.750, 0.500], [0.750, 0.250, 0.500], [0.250, 0.250, 0.751], [0.750, 0.750, 0.249]], "dos_ef_per_ev_atom": 0.801, "spacegroup": "P4/nmm, No. 129", "dft_energy_ev_per_atom": -6.338, "magmom_total_mub_per_cell": 0.76}

***

# 3
{"formula": "Th3ScBi4", "functional": "PBE", "state": "relaxed", "lattice": [[6.431, 0.000, 0.000], [0.000, 12.808, 0.000], [0.000, 0.000, 6.431]], "species": ["Th", "Th", "Th", "Th", "Th", "Th", "Sc", "Sc", "Bi", "Bi", "Bi", "Bi", "Bi", "Bi", "Bi", "Bi"], "fractional_positions": [[0.250, 0.000, 0.250], [0.250, 0.250, 0.749], [0.250, 0.500, 0.250], [0.750, 0.000, 0.750], [0.750, 0.500, 0.750], [0.750, 0.750, 0.251], [0.250, 0.750, 0.751], [0.750, 0.250, 0.249], [0.250, 0.250, 0.249], [0.250, 0.510, 0.750], [0.250, 0.750, 0.251], [0.250, 0.990, 0.750], [0.750, 0.010, 0.250], [0.750, 0.250, 0.749], [0.750, 0.490, 0.250], [0.750, 0.750, 0.751]], "dos_ef_per_ev_atom": 0.587, "spacegroup": "Pmmn, No. 59", "dft_energy_ev_per_atom": -6.067, "magmom_total_mub_per_cell": 0.00}

***

# 4
{"formula": "ThSc2Bi", "functional": "PBE", "state": "relaxed", "lattice": [[1.739, 1.004, 10.435], [-1.739, 1.004, 10.435], [0.000, -2.008, 10.435]], "species": ["Th", "Sc", "Sc", "Bi"], "fractional_positions": [[0.000, 0.000, 0.000], [0.246, 0.246, 0.246], [0.421, 0.421, 0.421], [0.833, 0.833, 0.833]], "dos_ef_per_ev_atom": 1.684, "spacegroup": "R3m, No. 160", "dft_energy_ev_per_atom": -6.096, "magmom_total_mub_per_cell": 0.00}

***

# 5
{"formula": "ThScBi2", "functional": "PBE", "state": "relaxed", "lattice": [[2.230, 1.288, 7.163], [-2.230, 1.288, 7.163], [0.000, -2.576, 7.163]], "species": ["Th", "Sc", "Bi", "Bi"], "fractional_positions": [[0.000, 0.000, 0.000], [0.500, 0.500, 0.500], [0.242, 0.242, 0.242], [0.758, 0.758, 0.758]], "dos_ef_per_ev_atom": 0.545, "spacegroup": "R-3m, No. 166", "dft_energy_ev_per_atom": -5.987, "magmom_total_mub_per_cell": 0.00}

***

# 6
{"formula": "ThScBi", "functional": "PBE", "state": "relaxed", "lattice": [[8.030, 0.000, 0.000], [0.000, 4.409, 0.000], [0.000, 0.000, 9.735]], "species": ["Th", "Th", "Th", "Th", "Sc", "Sc", "Sc", "Sc", "Bi", "Bi", "Bi", "Bi"], "fractional_positions": [[0.042, 0.250, 0.163], [0.458, 0.750, 0.663], [0.542, 0.250, 0.337], [0.958, 0.750, 0.837], [0.132, 0.250, 0.555], [0.368, 0.750, 0.055], [0.632, 0.250, 0.945], [0.868, 0.750, 0.445], [0.240, 0.750, 0.358], [0.260, 0.250, 0.858], [0.740, 0.750, 0.142], [0.760, 0.250, 0.642]], "dos_ef_per_ev_atom": 0.941, "spacegroup": "Pnma, No. 62", "dft_energy_ev_per_atom": -6.346, "magmom_total_mub_per_cell": 1.29}

***

# 7
{"formula": "Th3Sc2Bi3", "functional": "PBE", "state": "relaxed", "lattice": [[2.053, -7.223, 0.000], [2.053, 7.223, 0.000], [0.000, 0.000, 16.025]], "species": ["Th", "Th", "Th", "Th", "Th", "Th", "Sc", "Sc", "Sc", "Sc", "Bi", "Bi", "Bi", "Bi", "Bi", "Bi"], "fractional_positions": [[0.048, 0.952, 0.625], [0.048, 0.952, 0.875], [0.371, 0.629, 0.750], [0.629, 0.371, 0.250], [0.952, 0.048, 0.125], [0.952, 0.048, 0.375], [0.242, 0.758, 0.087], [0.242, 0.758, 0.413], [0.758, 0.242, 0.587], [0.758, 0.242, 0.913], [0.335, 0.665, 0.250], [0.393, 0.607, 0.539], [0.393, 0.607, 0.961], [0.607, 0.393, 0.039], [0.607, 0.393, 0.461], [0.665, 0.335, 0.750]], "dos_ef_per_ev_atom": 1.289, "spacegroup": "Cmcm, No. 63", "dft_energy_ev_per_atom": -6.230, "magmom_total_mub_per_cell": 0.00}

***

# 8
{"formula": "ThScBi", "functional": "PBE", "state": "relaxed", "lattice": [[5.114, 0.000, 0.000], [-2.557, 4.429, 0.000], [0.000, 0.000, 3.857]], "species": ["Th", "Sc", "Bi"], "fractional_positions": [[0.000, 0.000, 0.000], [0.333, 0.667, 0.500], [0.667, 0.333, 0.500]], "dos_ef_per_ev_atom": 1.631, "spacegroup": "P-6m2, No. 187", "dft_energy_ev_per_atom": -6.052, "magmom_total_mub_per_cell": 1.14}

***

# 9
{"formula": "Th2ScBi2", "functional": "PBE", "state": "relaxed", "lattice": [[2.619, -8.764, 0.000], [2.619, 8.764, 0.000], [0.000, 0.000, 6.494]], "species": ["Th", "Th", "Th", "Th", "Sc", "Sc", "Bi", "Bi", "Bi", "Bi"], "fractional_positions": [[0.000, 0.000, 0.000], [0.000, 0.000, 0.500], [0.196, 0.804, 0.750], [0.804, 0.196, 0.250], [0.403, 0.597, 0.750], [0.597, 0.403, 0.250], [0.179, 0.821, 0.250], [0.419, 0.581, 0.250], [0.581, 0.419, 0.750], [0.821, 0.179, 0.750]], "dos_ef_per_ev_atom": 0.602, "spacegroup": "Cmcm, No. 63", "dft_energy_ev_per_atom": -6.296, "magmom_total_mub_per_cell": 0.00}

***

# 10
{"formula": "Th5ScBi5", "functional": "PBE", "state": "relaxed", "lattice": [[7.040, -3.153, 0.000], [7.040, 3.153, 0.000], [-2.897, 0.000, 8.337]], "species": ["Th", "Th", "Th", "Th", "Th", "Sc", "Bi", "Bi", "Bi", "Bi", "Bi"], "fractional_positions": [[0.000, 0.000, 0.000], [0.324, 0.324, 0.158], [0.377, 0.377, 0.751], [0.623, 0.623, 0.249], [0.676, 0.676, 0.842], [0.000, 0.000, 0.500], [0.162, 0.162, 0.809], [0.174, 0.174, 0.364], [0.500, 0.500, 0.500], [0.826, 0.826, 0.636], [0.838, 0.838, 0.191]], "dos_ef_per_ev_atom": 0.762, "spacegroup": "C2/m, No. 12", "dft_energy_ev_per_atom": -6.081, "magmom_total_mub_per_cell": 0.00}

***

# 11
{"formula": "Th3ScBi4", "functional": "PBE", "state": "relaxed", "lattice": [[4.536, -6.405, 0.000], [4.536, 6.405, 0.000], [0.000, 0.000, 4.525]], "species": ["Th", "Th", "Th", "Sc", "Bi", "Bi", "Bi", "Bi"], "fractional_positions": [[0.000, 0.000, 0.000], [0.000, 0.500, 0.500], [0.500, 0.000, 0.500], [0.500, 0.500, 0.000], [0.259, 0.741, 0.000], [0.266, 0.266, 0.500], [0.734, 0.734, 0.500], [0.741, 0.259, 0.000]], "dos_ef_per_ev_atom": 0.711, "spacegroup": "Cmmm, No. 65", "dft_energy_ev_per_atom": -6.077, "magmom_total_mub_per_cell": 0.00}

***

# 12
{"formula": "ThScBi2", "functional": "PBE", "state": "relaxed", "lattice": [[2.191, 1.265, 7.619], [-2.191, 1.265, 7.619], [0.000, -2.531, 7.619]], "species": ["Th", "Sc", "Bi", "Bi"], "fractional_positions": [[0.000, 0.000, 0.000], [0.828, 0.828, 0.828], [0.421, 0.421, 0.421], [0.576, 0.576, 0.576]], "dos_ef_per_ev_atom": 0.906, "spacegroup": "R3m, No. 160", "dft_energy_ev_per_atom": -5.894, "magmom_total_mub_per_cell": 0.00}